Entry 1:
## Tb4GeIr3 (GGA-PBE)

Data for an optimized crystal structure of Tb4GeIr3.

Cell: 3.957 4.240 10.611 Å, 90.00 90.00 90.00°
Space group Pmm2 (No. 25)
Inequivalent atoms, fractional coordinates:
Tb: 0.000 0.000 0.000 x1
Tb: 0.000 0.500 0.279 x1
Tb: 0.500 0.000 0.488 x1
Tb: 0.500 0.500 0.780 x1
Ge: 0.000 0.000 0.709 x1
Ir: 0.000 0.500 0.565 x1
Ir: 0.500 0.000 0.215 x1
Ir: 0.500 0.500 0.052 x1

Results
* DOS(E_F): 4.16 states/eV per cell
* DFT formation energy: -6.5 eV/f.u.

---

Entry 2:
## LiPtI2N (GGA-PBE)

Data for an optimized crystal structure of LiPtI2N.

Cell: 4.885 4.885 3.940 Å, 90.00 90.00 90.00°
Space group P4/mmm (No. 123)
Inequivalent atoms, fractional coordinates:
Li: 0.000 0.000 0.000 x1
Pt: 0.500 0.500 0.000 x1
I: 0.000 0.500 0.500 x2
N: 0.000 0.000 0.500 x1

Results
* DOS(E_F): 2.99 states/eV per cell
* relative energy among the computed polymorphs: 587 meV per atom
* E_form (uncorrected): 0.651 eV/atom

---

Entry 3:
## SrCaLa2Tl (GGA-PBE)

Data for an optimized crystal structure of SrCaLa2Tl.

Cell: 5.976 5.976 5.829 Å, 90.00 90.00 90.00°
Space group P4/mmm (No. 123)
Inequivalent atoms, fractional coordinates:
Sr: 0.000 0.000 0.000 x1
Ca: 0.500 0.500 0.500 x1
La: 0.000 0.500 0.500 x2
Tl: 0.500 0.500 0.000 x1

Results
* DOS(E_F): 5.83 states/eV per cell
* DFT formation energy: 2.4 eV/f.u.